1.
CsBC after structural relaxation, computed with GGA-PBE. Values from VASP.

Structure (Quantum ESPRESSO input):
```
&SYSTEM
  ibrav = 0, nat = 12, ntyp = 3
/
ATOMIC_SPECIES
C 12.01 C.upf
B 10.81 B.upf
Cs 132.91 Cs.upf
CELL_PARAMETERS angstrom
7.202 0.000 0.000
0.000 3.105 0.000
0.000 0.000 10.062
ATOMIC_POSITIONS crystal
C 0.358 0.750 0.974
C 0.642 0.250 0.026
C 0.142 0.250 0.474
C 0.858 0.750 0.526
B 0.581 0.750 0.008
B 0.081 0.750 0.492
B 0.919 0.250 0.508
B 0.419 0.250 0.992
Cs 0.526 0.250 0.681
Cs 0.026 0.250 0.819
Cs 0.974 0.750 0.181
Cs 0.474 0.750 0.319
```

Calculated values
For the density of states at the Fermi level, the calculation gives 0.134 states/eV per atom. For the formation energy, the calculation gives 0.523 eV/atom.

---

2.
CsBC after structural relaxation, computed with GGA-PBE. Values from VASP.

Structure (Quantum ESPRESSO input):
```
&SYSTEM
  ibrav = 0, nat = 12, ntyp = 3
/
ATOMIC_SPECIES
C 12.01 C.upf
B 10.81 B.upf
Cs 132.91 Cs.upf
CELL_PARAMETERS angstrom
-0.218 -5.981 -2.140
2.603 0.497 -1.654
6.433 -3.483 9.080
ATOMIC_POSITIONS crystal
C 0.112 0.750 0.935
C 0.888 0.250 0.065
C 0.388 0.250 0.435
C 0.612 0.750 0.565
B 0.057 0.250 0.958
B 0.557 0.250 0.542
B 0.943 0.750 0.042
B 0.443 0.750 0.458
Cs 0.906 0.250 0.346
Cs 0.094 0.750 0.654
Cs 0.406 0.250 0.154
Cs 0.594 0.750 0.846
```

Calculated values
For the density of states at the Fermi level, the calculation gives 0.000 states/eV per atom. For the formation energy, the calculation gives 0.576 eV/atom.

---

3.
CsBC2 after structural relaxation, computed with GGA-PBE. Values from VASP.

Structure (Quantum ESPRESSO input):
```
&SYSTEM
  ibrav = 0, nat = 8, ntyp = 3
/
ATOMIC_SPECIES
Cs 132.91 Cs.upf
C 12.01 C.upf
B 10.81 B.upf
CELL_PARAMETERS angstrom
-3.880 -2.461 -2.966
0.501 -4.495 3.074
-4.356 -2.145 2.436
ATOMIC_POSITIONS crystal
Cs 0.750 0.250 0.500
Cs 0.000 0.000 0.000
C 0.375 0.625 0.250
C 0.375 0.125 0.250
C 0.375 0.625 0.750
C 0.875 0.625 0.750
B 0.250 0.750 0.500
B 0.500 0.500 0.000
```

Calculated values
For the density of states at the Fermi level, the calculation gives 0.840 states/eV per atom. For the formation energy, the calculation gives 1.431 eV/atom.

---

4.
CsB2C after structural relaxation, computed with GGA-PBE. Values from VASP.

Structure (Quantum ESPRESSO input):
```
&SYSTEM
  ibrav = 0, nat = 8, ntyp = 3
/
ATOMIC_SPECIES
B 10.81 B.upf
C 12.01 C.upf
Cs 132.91 Cs.upf
CELL_PARAMETERS angstrom
-2.068 -1.296 4.810
-4.358 -2.052 -2.427
-1.507 -5.079 1.008
ATOMIC_POSITIONS crystal
B 0.375 0.125 0.250
B 0.375 0.625 0.750
B 0.375 0.625 0.250
B 0.875 0.625 0.750
C 0.250 0.750 0.500
C 0.500 0.500 0.000
Cs 0.750 0.250 0.500
Cs 0.000 0.000 0.000
```

Calculated values
For the density of states at the Fermi level, the calculation gives 0.310 states/eV per atom. For the formation energy, the calculation gives 1.292 eV/atom.

---

5.
CsBC3 after structural relaxation, computed with GGA-PBE. Values from VASP.

Structure (Quantum ESPRESSO input):
```
&SYSTEM
  ibrav = 0, nat = 5, ntyp = 3
/
ATOMIC_SPECIES
C 12.01 C.upf
B 10.81 B.upf
Cs 132.91 Cs.upf
CELL_PARAMETERS angstrom
-1.150 -3.407 -1.386
-0.376 -1.336 3.595
-3.659 1.208 0.066
ATOMIC_POSITIONS crystal
C 0.000 0.000 0.500
C 0.000 0.500 0.000
C 0.500 0.000 0.000
B 0.000 0.000 0.000
Cs 0.500 0.500 0.500
```

Calculated values
The energy above the most stable polymorph in this dataset is 0 meV/atom. For the density of states at the Fermi level, the calculation gives 0.679 states/eV per atom. For the formation energy, the calculation gives 3.054 eV/atom.

---

6.
CsBC after structural relaxation, computed with GGA-PBE. Values from VASP.

Structure (Quantum ESPRESSO input):
```
&SYSTEM
  ibrav = 0, nat = 12, ntyp = 3
/
ATOMIC_SPECIES
Cs 132.91 Cs.upf
B 10.81 B.upf
C 12.01 C.upf
CELL_PARAMETERS angstrom
-9.004 -0.395 -4.079
0.533 -5.612 -0.632
-2.301 -0.799 5.158
ATOMIC_POSITIONS crystal
Cs 0.334 0.750 0.000
Cs 0.666 0.250 0.000
Cs 0.834 0.750 0.500
Cs 0.166 0.250 0.500
B 0.500 0.000 0.500
B 0.000 0.000 0.000
B 0.500 0.500 0.500
B 0.000 0.500 0.000
C 0.000 0.250 0.000
C 0.000 0.750 0.000
C 0.500 0.750 0.500
C 0.500 0.250 0.500
```

Calculated values
For the density of states at the Fermi level, the calculation gives 0.000 states/eV per atom. For the formation energy, the calculation gives 0.015 eV/atom.

---

7.
CsBC2F8 after structural relaxation, computed with GGA-PBE. Values from VASP.

Structure (Quantum ESPRESSO input):
```
&SYSTEM
  ibrav = 0, nat = 24, ntyp = 4
/
ATOMIC_SPECIES
Cs 132.91 Cs.upf
F 19.00 F.upf
B 10.81 B.upf
C 12.01 C.upf
CELL_PARAMETERS angstrom
-0.680 -7.460 1.656
1.513 -1.414 -5.749
8.255 -0.609 0.647
ATOMIC_POSITIONS crystal
Cs 0.750 0.018 0.779
Cs 0.250 0.982 0.221
F 0.107 0.202 0.546
F 0.393 0.698 0.774
F 0.393 0.202 0.546
F 0.107 0.698 0.774
F 0.250 0.519 0.491
F 0.893 0.302 0.226
F 0.750 0.432 0.999
F 0.099 0.206 0.868
F 0.401 0.206 0.868
F 0.750 0.481 0.509
F 0.599 0.794 0.132
F 0.607 0.798 0.454
F 0.901 0.794 0.132
F 0.250 0.568 0.001
F 0.607 0.302 0.226
F 0.893 0.798 0.454
B 0.750 0.682 0.206
B 0.250 0.318 0.794
C 0.250 0.573 0.833
C 0.250 0.312 0.594
C 0.750 0.427 0.167
C 0.750 0.688 0.406
```

Calculated values
The formation energy (no corrections) is -2.00 eV per atom. For the density of states at the Fermi level, the calculation gives 0.000 states/eV per atom.

---

8.
CsBC4N4 after structural relaxation, computed with GGA-PBE. Values from VASP.

Structure (Quantum ESPRESSO input):
```
&SYSTEM
  ibrav = 0, nat = 20, ntyp = 4
/
ATOMIC_SPECIES
C 12.01 C.upf
N 14.01 N.upf
B 10.81 B.upf
Cs 132.91 Cs.upf
CELL_PARAMETERS angstrom
9.406 -0.733 1.005
4.279 8.468 0.130
-7.388 -3.672 4.685
ATOMIC_POSITIONS crystal
C 0.459 0.413 0.757
C 0.094 0.548 0.257
C 0.452 0.709 0.546
C 0.656 0.702 0.243
C 0.163 0.906 0.454
C 0.587 0.344 0.046
C 0.291 0.837 0.743
C 0.298 0.541 0.954
N 0.095 0.020 0.419
N 0.770 0.850 0.424
N 0.980 0.400 0.076
N 0.600 0.676 0.581
N 0.426 0.345 0.576
N 0.655 0.230 0.081
N 0.150 0.574 0.919
N 0.324 0.905 0.924
B 0.500 0.500 0.000
B 0.250 0.750 0.500
Cs 0.750 0.250 0.500
Cs 0.000 0.000 0.000
```

Calculated values
The formation energy (no corrections) is -0.02 eV per atom. For the density of states at the Fermi level, the calculation gives 0.000 states/eV per atom.

---

9.
CsB2PdC after structural relaxation, computed with GGA-PBE. Values from VASP.

Structure (Quantum ESPRESSO input):
```
&SYSTEM
  ibrav = 0, nat = 5, ntyp = 4
/
ATOMIC_SPECIES
B 10.81 B.upf
Pd 106.42 Pd.upf
C 12.01 C.upf
Cs 132.91 Cs.upf
CELL_PARAMETERS angstrom
4.169 0.000 0.000
0.000 5.343 0.000
0.000 0.000 4.169
ATOMIC_POSITIONS crystal
B 0.000 0.000 0.500
B 0.500 0.000 0.000
Pd 0.000 0.000 0.000
C 0.000 0.500 0.000
Cs 0.500 0.500 0.500
```

Calculated values
For the density of states at the Fermi level, the calculation gives 0.452 states/eV per atom. For the formation energy, the calculation gives 1.784 eV/atom.

---

10.
CsB2CSe after structural relaxation, computed with GGA-PBE. Values from VASP.

Structure (Quantum ESPRESSO input):
```
&SYSTEM
  ibrav = 0, nat = 5, ntyp = 4
/
ATOMIC_SPECIES
B 10.81 B.upf
Cs 132.91 Cs.upf
C 12.01 C.upf
Se 78.96 Se.upf
CELL_PARAMETERS angstrom
-4.066 -2.040 0.868
-0.656 -0.623 -4.542
1.939 -3.765 0.236
ATOMIC_POSITIONS crystal
B 0.500 0.000 0.000
B 0.000 0.500 0.000
Cs 0.500 0.500 0.500
C 0.000 0.000 0.500
Se 0.000 0.000 0.000
```

Calculated values
The formation energy (no corrections) is 2.34 eV per atom. For the density of states at the Fermi level, the calculation gives 0.557 states/eV per atom.

---

11.
CsZr2BC after structural relaxation, computed with GGA-PBE. Values from VASP.

Structure (Quantum ESPRESSO input):
```
&SYSTEM
  ibrav = 0, nat = 5, ntyp = 4
/
ATOMIC_SPECIES
C 12.01 C.upf
Zr 91.22 Zr.upf
B 10.81 B.upf
Cs 132.91 Cs.upf
CELL_PARAMETERS angstrom
-3.036 -1.567 3.904
-1.955 -1.328 -2.053
2.684 -4.429 0.309
ATOMIC_POSITIONS crystal
C 0.000 0.500 0.000
Zr 0.500 0.000 0.000
Zr 0.000 0.000 0.500
B 0.000 0.000 0.000
Cs 0.500 0.500 0.500
```

Calculated values
For the density of states at the Fermi level, the calculation gives 0.760 states/eV per atom. For the formation energy, the calculation gives 1.216 eV/atom.

---

12.
CuB2C after structural relaxation, computed with GGA-PBE. Values from VASP.

Structure (Quantum ESPRESSO input):
```
&SYSTEM
  ibrav = 0, nat = 8, ntyp = 3
/
ATOMIC_SPECIES
Cu 63.55 Cu.upf
C 12.01 C.upf
B 10.81 B.upf
CELL_PARAMETERS angstrom
-2.235 1.792 -3.534
-3.961 -1.097 1.949
-3.163 3.426 0.810
ATOMIC_POSITIONS crystal
Cu 0.000 0.000 0.000
Cu 0.750 0.250 0.500
C 0.500 0.500 0.000
C 0.250 0.750 0.500
B 0.875 0.775 0.750
B 0.525 0.125 0.250
B 0.375 0.475 0.750
B 0.225 0.625 0.250
```

Calculated values
For the density of states at the Fermi level, the calculation gives 0.562 states/eV per atom. For the formation energy, the calculation gives 0.588 eV/atom.

---

13.
Cu2BC after structural relaxation, computed with GGA-PBE. Values from VASP.

Structure (Quantum ESPRESSO input):
```
&SYSTEM
  ibrav = 0, nat = 4, ntyp = 3
/
ATOMIC_SPECIES
Cu 63.55 Cu.upf
B 10.81 B.upf
C 12.01 C.upf
CELL_PARAMETERS angstrom
0.000 2.634 2.634
2.634 0.000 2.634
2.634 2.634 0.000
ATOMIC_POSITIONS crystal
Cu 0.750 0.750 0.750
Cu 0.250 0.250 0.250
B 0.000 0.000 0.000
C 0.500 0.500 0.500
```

Calculated values
The energy above the most stable polymorph in this dataset is 27 meV/atom. For the density of states at the Fermi level, the calculation gives 0.757 states/eV per atom. For the formation energy, the calculation gives 1.430 eV/atom.

---

14.
Cu3BC after structural relaxation, computed with GGA-PBE. Values from VASP.

Structure (Quantum ESPRESSO input):
```
&SYSTEM
  ibrav = 0, nat = 5, ntyp = 3
/
ATOMIC_SPECIES
Cu 63.55 Cu.upf
B 10.81 B.upf
C 12.01 C.upf
CELL_PARAMETERS angstrom
-2.668 2.176 -1.692
-1.725 -3.155 -1.338
-2.150 -0.170 3.172
ATOMIC_POSITIONS crystal
Cu 0.000 0.500 0.000
Cu 0.500 0.000 0.000
Cu 0.000 0.000 0.500
B 0.500 0.500 0.500
C 0.000 0.000 0.000
```

Calculated values
For the density of states at the Fermi level, the calculation gives 0.182 states/eV per atom. For the formation energy, the calculation gives 1.023 eV/atom.

---

15.
CuBC after structural relaxation, computed with GGA-PBE. Values from VASP.

Structure (Quantum ESPRESSO input):
```
&SYSTEM
  ibrav = 0, nat = 6, ntyp = 3
/
ATOMIC_SPECIES
C 12.01 C.upf
Cu 63.55 Cu.upf
B 10.81 B.upf
CELL_PARAMETERS angstrom
3.262 -0.004 0.005
0.671 3.887 -0.001
1.268 -0.937 4.366
ATOMIC_POSITIONS crystal
C 0.487 0.977 0.666
C 0.563 0.703 0.814
Cu 0.937 0.974 0.080
Cu 0.475 0.570 0.240
B 0.280 0.158 0.458
B 0.709 0.319 0.594
```

Calculated values
For the density of states at the Fermi level, the calculation gives 0.162 states/eV per atom. For the formation energy, the calculation gives 0.630 eV/atom.

---

16.
CuBC after structural relaxation, computed with GGA-PBE. Values from VASP.

Structure (Quantum ESPRESSO input):
```
&SYSTEM
  ibrav = 0, nat = 6, ntyp = 3
/
ATOMIC_SPECIES
Cu 63.55 Cu.upf
B 10.81 B.upf
C 12.01 C.upf
CELL_PARAMETERS angstrom
4.004 0.006 -0.044
-0.007 3.741 0.016
-1.396 1.909 3.879
ATOMIC_POSITIONS crystal
Cu 0.489 0.533 0.143
Cu 0.946 0.032 0.141
B 0.506 0.274 0.663
B 0.929 0.295 0.621
C 0.217 0.976 0.641
C 0.218 0.593 0.643
```

Calculated values
For the density of states at the Fermi level, the calculation gives 0.233 states/eV per atom. For the formation energy, the calculation gives 0.416 eV/atom.

---

17.
CuBC after structural relaxation, computed with GGA-PBE. Values from VASP.

Structure (Quantum ESPRESSO input):
```
&SYSTEM
  ibrav = 0, nat = 6, ntyp = 3
/
ATOMIC_SPECIES
B 10.81 B.upf
C 12.01 C.upf
Cu 63.55 Cu.upf
CELL_PARAMETERS angstrom
-1.583 0.672 3.471
-3.500 -0.315 -1.628
-0.003 -3.735 0.713
ATOMIC_POSITIONS crystal
B 0.434 0.531 0.916
B 0.754 0.210 0.915
C 0.434 0.936 0.915
C 0.159 0.211 0.915
Cu 0.540 0.775 0.416
Cu 0.999 0.315 0.415
```

Calculated values
For the density of states at the Fermi level, the calculation gives 0.115 states/eV per atom. For the formation energy, the calculation gives 0.420 eV/atom.

---

18.
CuBC after structural relaxation, computed with GGA-PBE. Values from VASP.

Structure (Quantum ESPRESSO input):
```
&SYSTEM
  ibrav = 0, nat = 6, ntyp = 3
/
ATOMIC_SPECIES
B 10.81 B.upf
Cu 63.55 Cu.upf
C 12.01 C.upf
CELL_PARAMETERS angstrom
4.424 0.031 0.029
1.320 4.742 -0.001
-1.318 1.056 3.448
ATOMIC_POSITIONS crystal
B 0.775 0.891 0.729
B 0.168 0.753 0.743
Cu 0.143 0.589 0.275
Cu 0.361 0.272 0.932
C 0.419 0.892 0.694
C 0.437 0.157 0.480
```

Calculated values
For the density of states at the Fermi level, the calculation gives 0.171 states/eV per atom. For the formation energy, the calculation gives 0.675 eV/atom.

---

19.
CuBC after structural relaxation, computed with GGA-PBE. Values from VASP.

Structure (Quantum ESPRESSO input):
```
&SYSTEM
  ibrav = 0, nat = 6, ntyp = 3
/
ATOMIC_SPECIES
Cu 63.55 Cu.upf
B 10.81 B.upf
C 12.01 C.upf
CELL_PARAMETERS angstrom
3.862 0.009 0.018
-0.094 3.861 0.009
-1.903 -1.926 3.791
ATOMIC_POSITIONS crystal
Cu 0.976 0.918 0.412
Cu 0.478 0.422 0.418
B 0.454 0.721 0.915
B 0.778 0.398 0.916
C 0.179 0.397 0.915
C 0.454 0.122 0.915
```

Calculated values
For the density of states at the Fermi level, the calculation gives 0.056 states/eV per atom. For the formation energy, the calculation gives 0.465 eV/atom.

---

20.
CuBC after structural relaxation, computed with GGA-PBE. Values from VASP.

Structure (Quantum ESPRESSO input):
```
&SYSTEM
  ibrav = 0, nat = 6, ntyp = 3
/
ATOMIC_SPECIES
Cu 63.55 Cu.upf
B 10.81 B.upf
C 12.01 C.upf
CELL_PARAMETERS angstrom
3.761 0.013 -0.003
1.619 5.611 0.019
-0.171 0.262 2.761
ATOMIC_POSITIONS crystal
Cu 0.278 0.364 0.232
Cu 0.940 0.070 0.531
B 0.744 0.462 0.571
B 0.542 0.862 0.985
C 0.474 0.989 0.461
C 0.684 0.573 0.049
```

Calculated values
For the density of states at the Fermi level, the calculation gives 0.072 states/eV per atom. For the formation energy, the calculation gives 0.336 eV/atom.